(1)
! Tc4As3 (PBE-GGA, relaxed); values from VASP
&SYSTEM
  ibrav = 0, nat = 14, ntyp = 2
/
ATOMIC_SPECIES
Tc 98.00 Tc.upf
As 74.92 As.upf
CELL_PARAMETERS angstrom
2.973 0.000 0.000
0.000 2.973 0.000
0.000 0.000 25.369
ATOMIC_POSITIONS crystal
Tc 0.000 0.000 0.061
Tc 0.000 0.000 0.370
Tc 0.000 0.000 0.630
Tc 0.000 0.000 0.939
Tc 0.500 0.500 0.130
Tc 0.500 0.500 0.439
Tc 0.500 0.500 0.561
Tc 0.500 0.500 0.870
As 0.000 0.000 0.192
As 0.000 0.000 0.500
As 0.000 0.000 0.808
As 0.500 0.500 0.000
As 0.500 0.500 0.308
As 0.500 0.500 0.692
! Space group: No. 139
! Magnetic moment in μB/f.u.: 0.00
! Final energy in eV/atom: -7.986
! E_form in eV per atom: -0.070


(2)
! KTeRhO6 (PBE-GGA, relaxed); values from VASP
&SYSTEM
  ibrav = 0, nat = 9, ntyp = 4
/
ATOMIC_SPECIES
K 39.10 K.upf
Te 127.60 Te.upf
Rh 102.91 Rh.upf
O 16.00 O.upf
CELL_PARAMETERS angstrom
5.269 0.000 0.000
-2.634 4.563 0.000
0.000 0.000 6.078
ATOMIC_POSITIONS crystal
K 0.000 0.000 0.000
Te 0.333 0.667 0.500
Rh 0.667 0.333 0.500
O 0.002 0.384 0.683
O 0.002 0.618 0.317
O 0.382 0.384 0.317
O 0.382 0.998 0.683
O 0.616 0.618 0.683
O 0.616 0.998 0.317
! Space group: No. 149
! Magnetic moment in μB/f.u.: 2.04
! Final energy in eV/atom: -5.601
! ΔE_f (raw) in eV per atom: -1.01


(3)
! Tm2PuOs2 (PBE-GGA, relaxed); values from VASP
&SYSTEM
  ibrav = 0, nat = 10, ntyp = 3
/
ATOMIC_SPECIES
Tm 168.93 Tm.upf
Pu 244.00 Pu.upf
Os 190.23 Os.upf
CELL_PARAMETERS angstrom
4.250 0.000 0.000
0.000 5.733 0.000
0.000 0.000 8.922
ATOMIC_POSITIONS crystal
Tm 0.000 0.000 0.197
Tm 0.000 0.000 0.803
Tm 0.500 0.500 0.303
Tm 0.500 0.500 0.697
Pu 0.000 0.500 0.000
Pu 0.500 0.000 0.500
Os 0.000 0.271 0.500
Os 0.000 0.729 0.500
Os 0.500 0.229 0.000
Os 0.500 0.771 0.000
! Space group: No. 71
! Magnetic moment in μB/f.u.: 4.07
! Final energy in eV/atom: -9.450
! E_form in eV per atom: -0.304


(4)
! Tb4InRh (PBE-GGA, relaxed); values from VASP
&SYSTEM
  ibrav = 0, nat = 24, ntyp = 3
/
ATOMIC_SPECIES
Tb 158.93 Tb.upf
In 114.82 In.upf
Rh 102.91 Rh.upf
CELL_PARAMETERS angstrom
0.000 6.854 6.854
6.854 0.000 6.854
6.854 6.854 0.000
ATOMIC_POSITIONS crystal
Tb 0.188 0.188 0.812
Tb 0.188 0.812 0.188
Tb 0.188 0.812 0.812
Tb 0.400 0.400 0.400
Tb 0.400 0.400 0.799
Tb 0.400 0.799 0.400
Tb 0.559 0.559 0.941
Tb 0.559 0.941 0.559
Tb 0.559 0.941 0.941
Tb 0.799 0.400 0.400
Tb 0.812 0.188 0.188
Tb 0.812 0.188 0.812
Tb 0.812 0.812 0.188
Tb 0.941 0.559 0.559
Tb 0.941 0.559 0.941
Tb 0.941 0.941 0.559
In 0.167 0.167 0.167
In 0.167 0.167 0.498
In 0.167 0.498 0.167
In 0.498 0.167 0.167
Rh 0.176 0.608 0.608
Rh 0.608 0.176 0.608
Rh 0.608 0.608 0.176
Rh 0.608 0.608 0.608
! Space group: No. 216
! Magnetic moment in μB/f.u.: 0.00
! Final energy in eV/atom: -5.317
! E_form in eV per atom: -0.549


(5)
! YIn2W (PBE-GGA, relaxed); values from VASP
&SYSTEM
  ibrav = 0, nat = 8, ntyp = 3
/
ATOMIC_SPECIES
Y 88.91 Y.upf
In 114.82 In.upf
W 183.84 W.upf
CELL_PARAMETERS angstrom
4.679 0.000 0.000
0.000 3.154 0.000
0.000 0.000 11.883
ATOMIC_POSITIONS crystal
Y 0.000 0.000 0.000
Y 0.000 0.500 0.500
In 0.000 0.000 0.755
In 0.000 0.500 0.255
In 0.500 0.000 0.613
In 0.500 0.500 0.113
W 0.500 0.000 0.352
W 0.500 0.500 0.852
! Space group: No. 38
! Magnetic moment in μB/f.u.: 0.00
! Final energy in eV/atom: -5.897
! E_form in eV per atom: 0.326


(6)
! ScZnRu (PBE-GGA, relaxed); values from VASP
&SYSTEM
  ibrav = 0, nat = 12, ntyp = 3
/
ATOMIC_SPECIES
Sc 44.96 Sc.upf
Zn 65.41 Zn.upf
Ru 101.07 Ru.upf
CELL_PARAMETERS angstrom
5.058 0.000 0.000
0.000 5.295 0.000
0.000 0.000 7.372
ATOMIC_POSITIONS crystal
Sc 0.000 0.250 0.132
Sc 0.000 0.750 0.868
Sc 0.500 0.250 0.368
Sc 0.500 0.750 0.632
Zn 0.250 0.250 0.750
Zn 0.250 0.750 0.250
Zn 0.750 0.250 0.750
Zn 0.750 0.750 0.250
Ru 0.000 0.000 0.500
Ru 0.000 0.500 0.500
Ru 0.500 0.000 0.000
Ru 0.500 0.500 0.000
! Space group: No. 74
! Magnetic moment in μB/f.u.: 0.00
! Final energy in eV/atom: -6.026
! E_form in eV per atom: -0.399


(7)
! TbHf4Os5 (PBE-GGA, relaxed); values from VASP
&SYSTEM
  ibrav = 0, nat = 10, ntyp = 3
/
ATOMIC_SPECIES
Tb 158.93 Tb.upf
Hf 178.49 Hf.upf
Os 190.23 Os.upf
CELL_PARAMETERS angstrom
3.273 0.000 0.000
0.000 3.273 0.000
0.000 0.000 16.579
ATOMIC_POSITIONS crystal
Tb 0.000 0.000 0.000
Hf 0.000 0.000 0.204
Hf 0.000 0.000 0.402
Hf 0.000 0.000 0.598
Hf 0.000 0.000 0.796
Os 0.500 0.500 0.114
Os 0.500 0.500 0.306
Os 0.500 0.500 0.500
Os 0.500 0.500 0.694
Os 0.500 0.500 0.886
! Space group: No. 123
! Magnetic moment in μB/f.u.: 0.00
! Final energy in eV/atom: -10.646
! E_form in eV per atom: -0.587


(8)
! La2TaGe4Pt3 (PBE-GGA, relaxed); values from VASP
&SYSTEM
  ibrav = 0, nat = 10, ntyp = 4
/
ATOMIC_SPECIES
La 138.91 La.upf
Ta 180.95 Ta.upf
Ge 72.64 Ge.upf
Pt 195.08 Pt.upf
CELL_PARAMETERS angstrom
4.326 0.000 0.000
0.000 4.326 0.000
0.000 0.000 10.765
ATOMIC_POSITIONS crystal
La 0.000 0.500 0.237
La 0.500 0.000 0.763
Ta 0.000 0.000 0.500
Ge 0.000 0.000 0.000
Ge 0.000 0.500 0.640
Ge 0.500 0.000 0.360
Ge 0.500 0.500 0.000
Pt 0.000 0.500 0.875
Pt 0.500 0.000 0.125
Pt 0.500 0.500 0.500
! Space group: No. 115
! Magnetic moment in μB/f.u.: 0.00
! Final energy in eV/atom: -6.686
! E_form in eV per atom: -0.856


(9)
! Ce6C2SCl3 (PBE-GGA, relaxed); values from VASP
&SYSTEM
  ibrav = 0, nat = 12, ntyp = 4
/
ATOMIC_SPECIES
Ce 140.12 Ce.upf
C 12.01 C.upf
S 32.06 S.upf
Cl 35.45 Cl.upf
CELL_PARAMETERS angstrom
3.305 -5.721 0.000
3.305 5.721 0.000
-2.204 0.000 6.859
ATOMIC_POSITIONS crystal
Ce 0.076 0.431 0.792
Ce 0.214 0.214 0.206
Ce 0.431 0.076 0.792
Ce 0.569 0.924 0.208
Ce 0.786 0.786 0.794
Ce 0.924 0.569 0.208
C 0.167 0.833 0.000
C 0.833 0.167 0.000
S 0.500 0.500 0.000
Cl 0.000 0.000 0.500
Cl 0.340 0.660 0.500
Cl 0.660 0.340 0.500
! Space group: No. 12
! Magnetic moment in μB/f.u.: 3.15
! Final energy in eV/atom: -6.540
! ΔE_f (raw) in eV per atom: -1.23


(10)
! Zn3InW (PBE-GGA, relaxed); values from VASP
&SYSTEM
  ibrav = 0, nat = 5, ntyp = 3
/
ATOMIC_SPECIES
Zn 65.41 Zn.upf
In 114.82 In.upf
W 183.84 W.upf
CELL_PARAMETERS angstrom
4.995 0.000 0.000
0.000 4.995 0.000
0.000 0.000 4.995
ATOMIC_POSITIONS crystal
Zn 0.000 0.000 0.500
Zn 0.000 0.500 0.000
Zn 0.500 0.000 0.000
In 0.500 0.500 0.500
W 0.000 0.000 0.000
! Space group: No. 221
! Magnetic moment in μB/f.u.: 1.40
! Final energy in eV/atom: -2.884
! E_form in eV per atom: 1.019


(11)
! BaBe2Te (PBE-GGA, relaxed); values from VASP
&SYSTEM
  ibrav = 0, nat = 8, ntyp = 3
/
ATOMIC_SPECIES
Ba 137.33 Ba.upf
Be 9.01 Be.upf
Te 127.60 Te.upf
CELL_PARAMETERS angstrom
3.986 0.000 0.000
0.000 6.781 0.000
0.000 0.000 8.025
ATOMIC_POSITIONS crystal
Ba 0.000 0.000 0.000
Ba 0.500 0.500 0.500
Be 0.000 0.000 0.423
Be 0.000 0.500 0.821
Be 0.500 0.000 0.321
Be 0.500 0.500 0.923
Te 0.000 0.500 0.125
Te 0.500 0.000 0.625
! Space group: No. 44
! Magnetic moment in μB/f.u.: 0.00
! Final energy in eV/atom: -3.033
! ΔE_f (raw) in eV per atom: 0.10


(12)
! Sm6Si2Te3P (PBE-GGA, relaxed); values from VASP
&SYSTEM
  ibrav = 0, nat = 12, ntyp = 4
/
ATOMIC_SPECIES
Sm 150.36 Sm.upf
Si 28.09 Si.upf
Te 127.60 Te.upf
P 30.97 P.upf
CELL_PARAMETERS angstrom
9.500 -2.139 0.000
9.500 2.139 0.000
-2.275 0.000 8.453
ATOMIC_POSITIONS crystal
Sm 0.007 0.007 0.231
Sm 0.327 0.327 0.433
Sm 0.341 0.341 0.901
Sm 0.659 0.659 0.099
Sm 0.673 0.673 0.567
Sm 0.993 0.993 0.769
Si 0.166 0.166 0.332
Si 0.834 0.834 0.668
Te 0.166 0.166 0.834
Te 0.500 0.500 0.500
Te 0.834 0.834 0.166
P 0.500 0.500 0.000
! Space group: No. 12
! Magnetic moment in μB/f.u.: 0.00
! Final energy in eV/atom: -5.778
! ΔE_f (raw) in eV per atom: -1.28


Copy entry 1 word for word.
! Tc4As3 (PBE-GGA, relaxed); values from VASP
&SYSTEM
  ibrav = 0, nat = 14, ntyp = 2
/
ATOMIC_SPECIES
Tc 98.00 Tc.upf
As 74.92 As.upf
CELL_PARAMETERS angstrom
2.973 0.000 0.000
0.000 2.973 0.000
0.000 0.000 25.369
ATOMIC_POSITIONS crystal
Tc 0.000 0.000 0.061
Tc 0.000 0.000 0.370
Tc 0.000 0.000 0.630
Tc 0.000 0.000 0.939
Tc 0.500 0.500 0.130
Tc 0.500 0.500 0.439
Tc 0.500 0.500 0.561
Tc 0.500 0.500 0.870
As 0.000 0.000 0.192
As 0.000 0.000 0.500
As 0.000 0.000 0.808
As 0.500 0.500 0.000
As 0.500 0.500 0.308
As 0.500 0.500 0.692
! Space group: No. 139
! Magnetic moment in μB/f.u.: 0.00
! Final energy in eV/atom: -7.986
! E_form in eV per atom: -0.070


Look up the final energy of the tenth one.
-2.884 eV/atom


What did the seventh record say?
! TbHf4Os5 (PBE-GGA, relaxed); values from VASP
&SYSTEM
  ibrav = 0, nat = 10, ntyp = 3
/
ATOMIC_SPECIES
Tb 158.93 Tb.upf
Hf 178.49 Hf.upf
Os 190.23 Os.upf
CELL_PARAMETERS angstrom
3.273 0.000 0.000
0.000 3.273 0.000
0.000 0.000 16.579
ATOMIC_POSITIONS crystal
Tb 0.000 0.000 0.000
Hf 0.000 0.000 0.204
Hf 0.000 0.000 0.402
Hf 0.000 0.000 0.598
Hf 0.000 0.000 0.796
Os 0.500 0.500 0.114
Os 0.500 0.500 0.306
Os 0.500 0.500 0.500
Os 0.500 0.500 0.694
Os 0.500 0.500 0.886
! Space group: No. 123
! Magnetic moment in μB/f.u.: 0.00
! Final energy in eV/atom: -10.646
! E_form in eV per atom: -0.587